An optimized crystal structure of Rb3Ti5Se12. Source: the Alexandria database, functional PBE.

Results
- formation energy (no corrections) (eV/atom) = -0.9537
- total magnetic moment (μB/f.u.) = 0.000

Lattice parameters (Å, degrees): 16.7578 16.7578 16.7578 90.00 90.00 90.00
Last column: nearest neighbours and their distance in Å.
Space group Ia-3d (No. 230)
One atom of each set of equivalent atoms:
Rb  0.0000  0.2500  0.1250 [24 per cell]  8 Se 3.41-3.53
Ti  0.0000  0.0000  0.0000 [16 per cell]  6 Se 2.59
Ti  0.0000  0.2500  0.3750 [24 per cell]  4 Se 2.40
Se  0.0416  0.0442  0.6419 [96 per cell]  2 Ti 2.40-2.59